The following is a GGA-PBE calculation of BeRe4Tc after structural relaxation, from the Alexandria database.

Structure (POSCAR):
```
BeRe4Tc
1.0
0.000 3.613 3.613
3.613 0.000 3.613
3.613 3.613 0.000
Be Re Tc
1 4 1
Direct
0.000 0.000 0.000
0.122 0.626 0.626
0.626 0.122 0.626
0.626 0.626 0.122
0.626 0.626 0.626
0.250 0.250 0.250
```

Results
ρ ... 15002 kg/m³
Formation enthalpy at 0 K ... 0.5809 eV/atom